Ba4MgW | PBE | relaxed

a b c (Å): 7.163 7.163 7.163
angles (deg): 60.00 60.00 60.00
Sites, in units of the cell vectors:
W (0.000, 0.000, 0.000)
Ba (0.877, 0.374, 0.374)
Ba (0.374, 0.877, 0.374)
Ba (0.374, 0.374, 0.877)
Ba (0.374, 0.374, 0.374)
Mg (0.750, 0.750, 0.750)

Values from the calculation:
- ΔH_f (0 K) (kJ/mol of formula units) = 716
- magnetization (μB per formula unit) = 3.21
- space-group type = F-43m